(1)
The following is a GGA-PBE calculation of crystalline Ca2Ta2Fe at its relaxed geometry, from Alexandria.

Summary:
**Distance to the lowest polymorph of the same formula**: 0.00 kcal/mol of atoms
**Magnetization**: 0.038 μB per formula unit
**Final energy**: -6.139 eV per atom

Cell lengths 3.6475, 3.6475, 9.9699 Å; angles 79.46, 79.46, 90.00 degrees
With the nearest neighbours (Å) after each atom.
Atoms (fractional coordinates):
Ca1 0.4096 0.4096 0.1809  4 Fe 3.11, 1 Ca 3.48
Ca2 0.5904 0.5904 0.8191  4 Fe 3.11, 1 Ca 3.48
Fe1 0.0000 0.0000 0.0000  8 Ca 3.11
Ta1 0.7500 0.2500 0.5000  4 Ta 2.58
Ta2 0.2500 0.7500 0.5000  4 Ta 2.58

---

(2)
The following is a GGA-PBE calculation of crystalline Ca2TaFe at its relaxed geometry, from Alexandria.

Summary:
**Distance to the lowest polymorph of the same formula**: 13.49 kcal/mol of atoms
**Magnetization**: 0.700 μB per formula unit
**Final energy**: -5.236 eV per atom

Cell lengths 5.1390, 4.0604, 4.0604 Å; angles 90.00, 90.00, 90.00 degrees
With the nearest neighbours (Å) after each atom.
Atoms (fractional coordinates):
Ca1 0.0000 0.0000 0.0000  4 Ca 2.87
Ca2 0.0000 0.5000 0.5000  4 Ca 2.87
Fe1 0.5000 0.5000 0.0000  4 Ta 2.87
Ta1 0.5000 0.0000 0.5000  4 Fe 2.87

---

(3)
The following is a GGA-PBE calculation of crystalline CaTa3Fe at its relaxed geometry, from Alexandria.

Summary:
**Distance to the lowest polymorph of the same formula**: 0.00 kcal/mol of atoms
**Magnetization**: 0.000 μB per formula unit
**Final energy**: -8.494 eV per atom

Cell lengths 4.7179, 4.7179, 4.7179 Å; angles 90.00, 90.00, 90.00 degrees
With the nearest neighbours (Å) after each atom.
Atoms (fractional coordinates):
Ca1 0.5000 0.5000 0.5000  12 Ta 3.34
Fe1 0.0000 0.0000 0.0000  6 Ta 2.36
Ta1 0.0000 0.5000 0.0000  2 Fe 2.36
Ta2 0.0000 0.0000 0.5000  2 Fe 2.36
Ta3 0.5000 0.0000 0.0000  2 Fe 2.36

---

(4)
The following is a GGA-PBE calculation of crystalline CaYTaFe2 at its relaxed geometry, from Alexandria.

Summary:
**Magnetization**: 0.426 μB per formula unit
**Final energy**: -5.629 eV per atom

Cell lengths 4.7609, 5.0498, 4.7609 Å; angles 90.00, 90.00, 90.00 degrees
With the nearest neighbours (Å) after each atom.
Atoms (fractional coordinates):
Y1 0.0000 0.0000 0.0000  4 Fe 2.38, 2 Ta 2.52
Ca1 0.5000 0.5000 0.5000  4 Ta 3.37, 8 Fe 3.47
Fe1 0.0000 0.0000 0.5000  2 Y 2.38
Fe2 0.5000 0.0000 0.0000  2 Y 2.38
Ta1 0.0000 0.5000 0.0000  2 Y 2.52

---

(5)
The following is a GGA-PBE calculation of crystalline CaZr2TaFe at its relaxed geometry, from Alexandria.

Summary:
**Magnetization**: 2.853 μB per formula unit
**Final energy**: -6.519 eV per atom

Cell lengths 5.0868, 5.6518, 5.0868 Å; angles 90.00, 90.00, 90.00 degrees
With the nearest neighbours (Å) after each atom.
Atoms (fractional coordinates):
Ca1 0.0000 0.5000 0.0000  2 Ta 2.83
Fe1 0.5000 0.5000 0.5000  4 Ca 3.60, 8 Zr 3.80
Zr1 0.0000 0.0000 0.5000  2 Ta 2.54
Zr2 0.5000 0.0000 0.0000  2 Ta 2.54
Ta1 0.0000 0.0000 0.0000  4 Zr 2.54, 2 Ca 2.83

---

(6)
The following is a GGA-PBE calculation of crystalline CaTb3Fe at its relaxed geometry, from Alexandria.

Summary:
**Magnetization**: 0.000 μB per formula unit
**Final energy**: -4.815 eV per atom

Cell lengths 5.3318, 5.3318, 5.3318 Å; angles 90.00, 90.00, 90.00 degrees
With the nearest neighbours (Å) after each atom.
Atoms (fractional coordinates):
Ca1 0.5000 0.5000 0.5000  12 Tb 3.77
Tb1 0.0000 0.5000 0.0000  2 Fe 2.67
Tb2 0.0000 0.0000 0.5000  2 Fe 2.67
Tb3 0.5000 0.0000 0.0000  2 Fe 2.67
Fe1 0.0000 0.0000 0.0000  6 Tb 2.67

---

(7)
The following is a GGA-PBE calculation of crystalline CaTbFe4 at its relaxed geometry, from Alexandria.

Summary:
**Magnetization**: 7.132 μB per formula unit
**Final energy**: -6.625 eV per atom

Cell lengths 5.1467, 5.1467, 5.1467 Å; angles 60.00, 60.00, 60.00 degrees
With the nearest neighbours (Å) after each atom.
Atoms (fractional coordinates):
Ca1 0.0000 0.0000 0.0000  12 Fe 3.02, 4 Tb 3.15
Tb1 0.2500 0.2500 0.2500  12 Fe 3.02, 4 Ca 3.15
Fe1 0.6246 0.6246 0.1262  6 Fe 2.57-2.58
Fe2 0.6246 0.1262 0.6246  6 Fe 2.57-2.58
Fe3 0.6246 0.6246 0.6246  6 Fe 2.57-2.58
Fe4 0.1262 0.6246 0.6246  6 Fe 2.57-2.58

---

(8)
The following is a GGA-PBE calculation of crystalline CaTb2Fe at its relaxed geometry, from Alexandria.

Summary:
**Distance to the lowest polymorph of the same formula**: 4.64 kcal/mol of atoms
**Magnetization**: 0.561 μB per formula unit
**Final energy**: -4.643 eV per atom

Cell lengths 3.6820, 3.6820, 10.7028 Å; angles 80.10, 80.10, 60.00 degrees
With the nearest neighbours (Å) after each atom.
Atoms (fractional coordinates):
Ca1 0.0000 0.0000 0.0000  2 Tb 3.59, 6 Ca 3.68
Tb1 0.1142 0.1142 0.6574  3 Fe 2.69
Tb2 0.8858 0.8858 0.3426  3 Fe 2.69
Fe1 0.5000 0.5000 0.5000  6 Tb 2.69

---

Here are the calculated energy of formation from the pure elements numbers, same order: 1095, 843, 710, 1820, 1364, 56, 122, 288 (meV/atom).